The following is a DFT calculation (PBE-GGA) of a relaxed LiSi2Bi crystal.

Unit cell a=6.4561 b=6.4561 c=7.0166 alpha=62.61 beta=62.61 gamma=90.00
With the nearest neighbours (Å) after each atom.
Sites, in units of the cell vectors:
Li: 0.5000 0.5000 0.0000  4 Si 2.56
Li: 0.2500 0.7500 0.5000  4 Si 2.56
Si: 0.8750 0.8543 0.7500  2 Li 2.56, 2 Bi 2.73
Si: 0.1457 0.6250 0.2500  2 Li 2.56, 2 Bi 2.73
Si: 0.3750 0.3957 0.7500  2 Li 2.56, 2 Bi 2.73
Si: 0.6043 0.1250 0.2500  2 Li 2.56, 2 Bi 2.73
Bi: 0.7500 0.2500 0.5000  4 Si 2.73
Bi: 0.0000 0.0000 0.0000  4 Si 2.73

Total magnetization (μB/atom): 0.000
Total energy (eV/atom): -3.515


The following is a DFT calculation (PBE-GGA) of a relaxed Li8SiBi2 crystal.

Unit cell a=4.5553 b=6.9003 c=7.7903 alpha=116.30 beta=107.00 gamma=90.00
With the nearest neighbours (Å) after each atom.
Sites, in units of the cell vectors:
Li: 0.6432 0.4089 0.2864  1 Si 2.63, 2 Bi 2.84, 2 Li 2.94
Li: 0.3568 0.5911 0.7136  1 Si 2.63, 2 Bi 2.84, 2 Li 2.94
Li: 0.6434 0.8776 0.2867  1 Si 2.64, 2 Bi 2.84, 2 Li 2.94
Li: 0.3566 0.1224 0.7133  1 Si 2.64, 2 Bi 2.84, 2 Li 2.94
Li: 0.8328 0.8322 0.6656  8 Li 2.79-2.98, 2 Bi 3.04
Li: 0.0000 0.2475 0.9999  6 Li 2.79-2.96, 2 Si 2.85, 2 Bi 2.96
Li: 0.0000 0.7525 0.0001  6 Li 2.79-2.96, 2 Si 2.85, 2 Bi 2.96
Li: 0.1672 0.1678 0.3344  8 Li 2.79-2.98, 2 Bi 3.04
Bi: 0.8191 0.3193 0.6383  10 Li 2.84-3.04
Bi: 0.1809 0.6807 0.3617  10 Li 2.84-3.04
Si: 0.5000 0.0000 0.0000  8 Li 2.63-2.85

Total magnetization (μB/atom): 0.000
Total energy (eV/atom): -2.946


The following is a DFT calculation (PBE-GGA) of a relaxed Li2SiBi2 crystal.

Unit cell a=8.2113 b=8.2113 c=3.3010 alpha=90.00 beta=90.00 gamma=90.00
With the nearest neighbours (Å) after each atom.
Sites, in units of the cell vectors:
Bi: 0.6855 0.8145 0.5000  6 Li 2.83-3.03
Bi: 0.8145 0.3145 0.5000  6 Li 2.83-3.03
Bi: 0.1855 0.6855 0.5000  6 Li 2.83-3.03
Bi: 0.3145 0.1855 0.5000  6 Li 2.83-3.03
Li: 0.6160 0.1160 0.0000  1 Li 2.70, 2 Bi 2.83
Li: 0.8840 0.6160 0.0000  1 Li 2.70, 2 Bi 2.83
Li: 0.1160 0.3840 0.0000  1 Li 2.70, 2 Bi 2.83
Li: 0.3840 0.8840 0.0000  1 Li 2.70, 2 Bi 2.83
Si: 0.0000 0.0000 0.0000  4 Li 3.29, 2 Si 3.30, 8 Bi 3.42
Si: 0.5000 0.5000 0.0000  4 Li 3.29, 2 Si 3.30, 8 Bi 3.42

Total magnetization (μB/atom): 0.000
Polymorph energy (0 for the lowest one) (meV per atom): 60
Total energy (eV/atom): -3.344


The following is a DFT calculation (PBE-GGA) of a relaxed Li3SiBi crystal.

Unit cell a=4.7465 b=4.7465 c=4.7465 alpha=90.00 beta=90.00 gamma=90.00
With the nearest neighbours (Å) after each atom.
Sites, in units of the cell vectors:
Si: 0.0000 0.0000 0.0000  6 Li 2.37
Li: 0.0000 0.0000 0.5000  2 Si 2.37
Li: 0.5000 0.0000 0.0000  2 Si 2.37
Li: 0.0000 0.5000 0.0000  2 Si 2.37
Bi: 0.5000 0.5000 0.5000  12 Li 3.36

Total magnetization (μB/atom): 0.000
Polymorph energy (0 for the lowest one) (meV per atom): 0
Total energy (eV/atom): -2.908


The following is a DFT calculation (PBE-GGA) of a relaxed LiSiBi2 crystal.

Unit cell a=6.7157 b=6.7157 c=7.3567 alpha=62.84 beta=62.84 gamma=90.00
With the nearest neighbours (Å) after each atom.
Sites, in units of the cell vectors:
Bi: 0.8750 0.8885 0.7500  2 Si 2.70, 2 Li 2.81
Bi: 0.1115 0.6250 0.2500  2 Si 2.70, 2 Li 2.81
Bi: 0.3750 0.3615 0.7500  2 Si 2.70, 2 Li 2.81
Bi: 0.6385 0.1250 0.2500  2 Si 2.70, 2 Li 2.81
Si: 0.7500 0.2500 0.5000  4 Bi 2.70
Si: 0.0000 0.0000 0.0000  4 Bi 2.70
Li: 0.5000 0.5000 0.0000  4 Bi 2.81
Li: 0.2500 0.7500 0.5000  4 Bi 2.81

Total magnetization (μB/atom): 0.000
Total energy (eV/atom): -3.601


The following is a DFT calculation (PBE-GGA) of a relaxed Li2SiBi2 crystal.

Unit cell a=8.4359 b=8.4359 c=3.2228 alpha=90.00 beta=90.00 gamma=90.00
With the nearest neighbours (Å) after each atom.
Sites, in units of the cell vectors:
Si: 0.5000 0.5000 0.0000  4 Bi 3.09, 2 Si 3.22
Si: 0.0000 0.0000 0.0000  4 Bi 3.09, 2 Si 3.22
Bi: 0.8180 0.6820 0.0000  6 Li 2.90-3.04, 2 Si 3.09, 2 Bi 3.22
Bi: 0.1820 0.3180 0.0000  6 Li 2.90-3.04, 2 Si 3.09, 2 Bi 3.22
Bi: 0.3180 0.8180 0.0000  6 Li 2.90-3.04, 2 Si 3.09, 2 Bi 3.22
Bi: 0.6820 0.1820 0.0000  6 Li 2.90-3.04, 2 Si 3.09, 2 Bi 3.22
Li: 0.1163 0.6163 0.5000  1 Li 2.77, 6 Bi 2.90-3.04
Li: 0.6163 0.8837 0.5000  1 Li 2.77, 6 Bi 2.90-3.04
Li: 0.3837 0.1163 0.5000  1 Li 2.77, 6 Bi 2.90-3.04
Li: 0.8837 0.3837 0.5000  1 Li 2.77, 6 Bi 2.90-3.04

Total magnetization (μB/atom): 0.000
Polymorph energy (0 for the lowest one) (meV per atom): 0
Total energy (eV/atom): -3.404


The following is a DFT calculation (PBE-GGA) of a relaxed Li3SiBi crystal.

Unit cell a=5.1161 b=5.1161 c=5.1161 alpha=90.00 beta=90.00 gamma=90.00
With the nearest neighbours (Å) after each atom.
Sites, in units of the cell vectors:
Bi: 0.0000 0.0000 0.0000  6 Li 2.56
Si: 0.5000 0.5000 0.5000  12 Li 3.62
Li: 0.0000 0.5000 0.0000  2 Bi 2.56
Li: 0.0000 0.0000 0.5000  2 Bi 2.56
Li: 0.5000 0.0000 0.0000  2 Bi 2.56

Total magnetization (μB/atom): 0.000
Polymorph energy (0 for the lowest one) (meV per atom): 292
Total energy (eV/atom): -2.616


The following is a DFT calculation (PBE-GGA) of a relaxed LiSi3Bi crystal.

Unit cell a=4.6225 b=4.6225 c=4.6225 alpha=90.00 beta=90.00 gamma=90.00
With the nearest neighbours (Å) after each atom.
Sites, in units of the cell vectors:
Bi: 0.5000 0.5000 0.5000  12 Si 3.27
Si: 0.0000 0.5000 0.0000  2 Li 2.31
Si: 0.0000 0.0000 0.5000  2 Li 2.31
Si: 0.5000 0.0000 0.0000  2 Li 2.31
Li: 0.0000 0.0000 0.0000  6 Si 2.31

Total magnetization (μB/atom): 0.000
Polymorph energy (0 for the lowest one) (meV per atom): 0
Total energy (eV/atom): -3.657